A plane-wave DFT calculation with PBE was carried out for a relaxed NbHRu crystal.

Values from the calculation:
**Calculated density**: 9481 kg/m³
**Distance to the lowest polymorph of the same formula**: 0.0 meV per atom
**Space group**: Pmmm

extended XYZ file:
```
3
Lattice="2.988 0.000 0.000 0.000 3.006 0.000 0.000 0.000 3.801" Properties=species:S:1:pos:R:3 pbc="T T T"
Nb 0.000 0.000 0.000
H 1.494 1.503 0.000
Ru 1.494 1.503 1.900
```



A plane-wave DFT calculation with PBE was carried out for a relaxed NbHRu3 crystal.

Values from the calculation:
**Calculated density**: 6117 kg/m³
**Distance to the lowest polymorph of the same formula**: 2378.1 meV per atom
**Space group**: Pm-3m

extended XYZ file:
```
5
Lattice="4.759 0.000 0.000 0.000 4.759 0.000 0.000 0.000 4.759" Properties=species:S:1:pos:R:3 pbc="T T T"
Nb 0.000 0.000 0.000
H 2.380 2.380 2.380
Ru 0.000 0.000 2.380
Ru 0.000 2.380 0.000
Ru 2.380 0.000 0.000
```



A plane-wave DFT calculation with PBE was carried out for a relaxed NbHRu3 crystal.

Values from the calculation:
**Calculated density**: 9273 kg/m³
**Distance to the lowest polymorph of the same formula**: 494.1 meV per atom
**Space group**: C2/m

extended XYZ file:
```
10
Lattice="6.572 -1.830 0.000 6.572 1.830 0.000 -2.783 0.000 5.914" Properties=species:S:1:pos:R:3 pbc="T T T"
Nb 1.425 0.000 1.051
Nb 8.937 0.000 4.862
H 5.910 0.000 1.277
H 4.452 0.000 4.637
Ru -1.773 0.000 4.152
Ru 0.939 0.000 3.697
Ru 4.145 0.000 0.642
Ru 6.217 0.000 5.272
Ru 9.422 0.000 2.216
Ru 12.134 0.000 1.761
```



A plane-wave DFT calculation with PBE was carried out for a relaxed NbH2Ru2 crystal.

Values from the calculation:
**Calculated density**: 9359 kg/m³
**Distance to the lowest polymorph of the same formula**: 0.0 meV per atom
**Space group**: I4/mmm

extended XYZ file:
```
5
Lattice="-1.523 1.523 5.684 1.523 -1.523 5.684 1.523 1.523 -5.684" Properties=species:S:1:pos:R:3 pbc="T T T"
Nb 0.000 0.000 0.000
H 1.523 0.000 2.842
H 0.000 1.523 2.842
Ru 0.000 0.000 4.027
Ru 0.000 0.000 7.341
```



A plane-wave DFT calculation with PBE was carried out for a relaxed NbHRu3 crystal.

Values from the calculation:
**Calculated density**: 7286 kg/m³
**Distance to the lowest polymorph of the same formula**: 1029.6 meV per atom
**Space group**: Amm2

extended XYZ file:
```
5
Lattice="2.700 0.000 0.000 0.000 2.753 6.089 0.000 -2.753 6.089" Properties=species:S:1:pos:R:3 pbc="T T T"
Nb 0.000 0.000 0.000
H 1.350 0.000 7.881
Ru 0.000 -1.562 8.379
Ru 0.000 1.562 8.379
Ru 1.350 0.000 9.901
```



A plane-wave DFT calculation with PBE was carried out for a relaxed Nb2H2Ru crystal.

Values from the calculation:
**Calculated density**: 8318 kg/m³
**Distance to the lowest polymorph of the same formula**: 119.5 meV per atom
**Space group**: P4/mmm

extended XYZ file:
```
5
Lattice="3.004 0.000 0.000 0.000 3.004 0.000 0.000 0.000 6.391" Properties=species:S:1:pos:R:3 pbc="T T T"
Nb 0.000 0.000 1.452
Nb 0.000 0.000 4.938
H 0.000 1.502 0.000
H 1.502 0.000 0.000
Ru 1.502 1.502 3.195
```



Number 1: total energy -23.2 eV per cell. Number 2: total energy -30.2 eV per cell. Number 3: total energy -79.2 eV per cell. Number 4: total energy -35.2 eV per cell. Number 5: total energy -36.9 eV per cell. Number 6: total energy -36.7 eV per cell.